An optimized crystal structure of CsCoRhF6. Source: Alexandria, functional GGA+U.

extended XYZ file:
```
9
Lattice="-1.8269 -5.1276 -0.4240 3.1650 -4.1689 1.5548 -2.4950 0.3831 6.0821" Properties=species:S:1:pos:R:3 pbc="T T T"
Cs -1.1569 -8.9134 7.2128
Co -0.3554 -6.0050 3.7948
Rh -0.8013 -2.9078 3.4180
F 0.2883 -1.4171 2.5942
F -2.2899 -1.6290 3.9056
F -1.6685 -4.4855 4.3392
F 0.3273 -2.4179 5.0232
F 0.5011 -4.3526 2.8643
F -1.9664 -3.1416 1.7814
```

Summary:
- Energy: -4.789 eV per atom
- Space group: No. 5